1.
## CaMnRe4 (PBE)

Data for CaMnRe4 after structural relaxation.

As for the total magnetization: 14.77 μB/cell. As for the energy of formation from the pure elements: 0.3762 eV per atom.

The space group is F-43m (No. 216) and the conventional cell measures 7.486, 7.486 and 7.486 Å, with angles of 90.00, 90.00 and 90.00 degrees. The inequivalent atoms are Ca at (0.000, 0.000, 0.000), Mn at (0.250, 0.250, 0.750) and Re at (0.124, 0.124, 0.376).

2.
## CaMnRe2 (PBE)

Data for CaMnRe2 after structural relaxation.

For the energy above the most stable polymorph in this dataset, the calculation gives 0.020 eV/atom. As for the total magnetization: 2.15 μB/cell. As for the energy of formation from the pure elements: 0.5017 eV per atom.

The space group is C2/m (No. 12) and the conventional cell measures 11.032, 2.784 and 4.712 Å, with angles of 90.00, 115.12 and 90.00 degrees. The inequivalent atoms are Ca at (0.000, 0.000, 0.000), Mn at (0.000, 0.500, 0.500) and Re at (0.212, 0.000, 0.712).

no.,final energy (eV/atom)
1,-9.78
2,-8.52